The following is a PBE calculation of an optimized crystal structure of Ta3Re, from Alexandria.

## Properties
DOS at the Fermi energy	4.10	states/eV per cell
E_form	-0.167	eV per atom
calculated volume	68.7	Å³/cell

Lattice parameters (Å, degrees): 5.342 5.342 5.342 116.86 116.86 116.86
Fractional positions:
Ta (0.000, 0.500, 0.500)
Ta (0.500, 0.000, 0.500)
Ta (0.500, 0.500, 0.000)
Re (0.000, 0.000, 0.000)

The following is a PBE calculation of an optimized crystal structure of Ta5Re4, from Alexandria.

## Properties
DOS at the Fermi energy	4.44	states/eV per cell
E_form	-0.182	eV per atom
calculated volume	149.1	Å³/cell
energy above the lowest structure with this stoichiometry	0.000	eV/atom

Lattice parameters (Å, degrees): 7.008 7.008 7.008 93.00 93.00 153.56
Fractional positions:
Ta (0.000, 0.000, 0.000)
Ta (0.333, 0.333, 0.666)
Ta (0.333, 0.667, 0.000)
Ta (0.667, 0.333, 0.000)
Ta (0.667, 0.667, 0.334)
Re (0.000, 0.337, 0.337)
Re (0.000, 0.663, 0.663)
Re (0.337, 0.000, 0.337)
Re (0.663, 0.000, 0.663)

The following is a PBE calculation of an optimized crystal structure of Ta2Re, from Alexandria.

## Properties
DOS at the Fermi energy	2.75	states/eV per cell
E_form	-0.331	eV per atom
calculated volume	101.6	Å³/cell

Lattice parameters (Å, degrees): 7.094 7.094 4.563 90.00 90.00 153.73
Fractional positions:
Ta (0.080, 0.920, 0.750)
Ta (0.245, 0.755, 0.250)
Ta (0.755, 0.245, 0.750)
Ta (0.920, 0.080, 0.250)
Re (0.417, 0.583, 0.750)
Re (0.583, 0.417, 0.250)

The following is a PBE calculation of an optimized crystal structure of Ta2Re3, from Alexandria.

## Properties
DOS at the Fermi energy	5.71	states/eV per cell
E_form	0.454	eV per atom
calculated volume	90.4	Å³/cell
energy above the lowest structure with this stoichiometry	0.246	eV/atom

Lattice parameters (Å, degrees): 4.391 4.391 5.414 90.00 90.00 120.00
Fractional positions:
Ta (0.333, 0.667, 0.329)
Ta (0.667, 0.333, 0.671)
Re (0.000, 0.000, 0.500)
Re (0.333, 0.667, 0.842)
Re (0.667, 0.333, 0.158)

The following is a PBE calculation of an optimized crystal structure of Ta4Re5, from Alexandria.

## Properties
DOS at the Fermi energy	14.64	states/eV per cell
E_form	0.133	eV per atom
calculated volume	299.1	Å³/cell
energy above the lowest structure with this stoichiometry	0.270	eV/atom

Lattice parameters (Å, degrees): 8.106 8.106 5.256 90.00 90.00 120.00
Fractional positions:
Ta (0.000, 0.000, 0.000)
Ta (0.000, 0.000, 0.500)
Ta (0.000, 0.367, 0.250)
Ta (0.000, 0.633, 0.750)
Ta (0.367, 0.000, 0.250)
Ta (0.367, 0.367, 0.750)
Ta (0.633, 0.000, 0.750)
Ta (0.633, 0.633, 0.250)
Re (0.000, 0.305, 0.750)
Re (0.000, 0.695, 0.250)
Re (0.305, 0.000, 0.750)
Re (0.305, 0.305, 0.250)
Re (0.333, 0.667, 0.000)
Re (0.333, 0.667, 0.500)
Re (0.667, 0.333, 0.000)
Re (0.667, 0.333, 0.500)
Re (0.695, 0.000, 0.250)
Re (0.695, 0.695, 0.750)

The following is a PBE calculation of an optimized crystal structure of Ta3Re, from Alexandria.

## Properties
DOS at the Fermi energy	3.11	states/eV per cell
E_form	-0.250	eV per atom
calculated volume	68.9	Å³/cell

Lattice parameters (Å, degrees): 5.435 5.435 5.435 145.40 130.19 62.07
Fractional positions:
Ta (0.000, 0.000, 0.000)
Ta (0.258, 0.758, 0.500)
Ta (0.742, 0.242, 0.500)
Re (0.500, 0.500, 0.000)